[1]
HfMgH3 at its PBEsol-relaxed geometry. Source: the Alexandria database, functional meta-GGA SCAN.

Cell lengths 3.599, 3.599, 3.599 Å; angles 90.00, 90.00, 90.00 degrees
Space group Pm-3m (No. 221)
Asymmetric unit:
Hf 0.000 0.000 0.000
Mg 0.500 0.500 0.500
H 0.000 0.500 0.500

* D(E_F): 2.71 states/eV per cell
* raw total energy: -15.2715 eV per atom

[2]
HfMg3H at its PBEsol-relaxed geometry. Source: the Alexandria database, functional meta-GGA SCAN.

Cell lengths 4.418, 4.418, 4.418 Å; angles 90.00, 90.00, 90.00 degrees
Space group Pm-3m (No. 221)
Asymmetric unit:
Hf 0.000 0.000 0.000
Mg 0.000 0.500 0.500
H 0.500 0.500 0.500

* D(E_F): 4.49 states/eV per cell
* raw total energy: -15.9532 eV per atom

[3]
Hf2MnH2 at its PBEsol-relaxed geometry. Source: the Alexandria database, functional meta-GGA SCAN.

Cell lengths 3.116, 3.116, 11.605 Å; angles 90.00, 90.00, 90.00 degrees
Space group I4/mmm (No. 139)
Asymmetric unit:
Hf 0.000 0.000 0.133
Mn 0.000 0.000 0.500
H 0.000 0.500 0.250

* D(E_F): 4.21 states/eV per cell
* raw total energy: -30.5181 eV per atom

[4]
Hf3MoH at its PBEsol-relaxed geometry. Source: the Alexandria database, functional meta-GGA SCAN.

Cell lengths 4.311, 4.311, 4.311 Å; angles 90.00, 90.00, 90.00 degrees
Space group Pm-3m (No. 221)
Asymmetric unit:
Hf 0.000 0.000 0.500
Mo 0.500 0.500 0.500
H 0.000 0.000 0.000

* D(E_F): 6.89 states/eV per cell
* raw total energy: -45.2128 eV per atom

Among the records above, which one has the highest raw total energy?
HfMgH3